Record 1
Entry from the Alexandria database: crystalline MnCdRe at its relaxed geometry (PBE).

Results
- ΔE_f (eV/atom) = 0.373
- volume (A^3/atom) = 16.0

The structure in CIF format:
```
data_MnCdRe
_chemical_formula_sum 'Mn4 Cd4 Re4'
_space_group_name_H-M_alt 'F m m 2'
_space_group_IT_number 42
_space_group_name_Hall 'F 2 -2'
_cell_length_a 3.132
_cell_length_b 4.519
_cell_length_c 13.589
_cell_angle_alpha 90.00
_cell_angle_beta 90.00
_cell_angle_gamma 90.00
loop_
_atom_site_label
_atom_site_type_symbol
_atom_site_fract_x
_atom_site_fract_y
_atom_site_fract_z
Mn1 Mn 0.000 0.000 0.000
Cd1 Cd 0.000 0.000 0.326
Re1 Re 0.000 0.000 0.639
```

---

Record 2
Entry from the Alexandria database: crystalline Mn2CdRe at its relaxed geometry (PBE).

Results
- ΔE_f (eV/atom) = 0.391
- volume (A^3/atom) = 15.1

The structure in CIF format:
```
data_Mn2CdRe
_chemical_formula_sum 'Mn2 Cd1 Re1'
_space_group_name_H-M_alt 'P 4/m m m'
_space_group_IT_number 123
_space_group_name_Hall '-P 4 2'
_cell_length_a 4.574
_cell_length_b 4.574
_cell_length_c 2.880
_cell_angle_alpha 90.00
_cell_angle_beta 90.00
_cell_angle_gamma 90.00
loop_
_atom_site_label
_atom_site_type_symbol
_atom_site_fract_x
_atom_site_fract_y
_atom_site_fract_z
Mn1 Mn 0.000 0.500 0.000
Cd1 Cd 0.000 0.000 0.500
Re1 Re 0.500 0.500 0.500
```

---

What did the first record say?
Entry from the Alexandria database: crystalline MnCdRe at its relaxed geometry (PBE).

Results
- ΔE_f (eV/atom) = 0.373
- volume (A^3/atom) = 16.0

The structure in CIF format:
```
data_MnCdRe
_chemical_formula_sum 'Mn4 Cd4 Re4'
_space_group_name_H-M_alt 'F m m 2'
_space_group_IT_number 42
_space_group_name_Hall 'F 2 -2'
_cell_length_a 3.132
_cell_length_b 4.519
_cell_length_c 13.589
_cell_angle_alpha 90.00
_cell_angle_beta 90.00
_cell_angle_gamma 90.00
loop_
_atom_site_label
_atom_site_type_symbol
_atom_site_fract_x
_atom_site_fract_y
_atom_site_fract_z
Mn1 Mn 0.000 0.000 0.000
Cd1 Cd 0.000 0.000 0.326
Re1 Re 0.000 0.000 0.639
```